Entry from Alexandria via LeMat-Bulk: an optimized crystal structure of ReNi2MoO (PBE with a Hubbard U).

abc: 4.3994 4.7213 4.3994
angles: 90.00 90.00 90.00
Each line ends with the local moment (μB).
Sites, in units of the cell vectors:
1 Re 0.0000 0.5000 0.0000  -0.10
2 Mo 0.0000 0.0000 0.0000  0.02
3 O 0.5000 0.5000 0.5000  -0.37
4 Ni 0.0000 0.0000 0.5000  0.23
5 Ni 0.5000 0.0000 0.0000  0.13

Calculated values
* N(E_F): 0.774 states/eV per atom
* E_tot: -14.982 eV per cell